Entry 1:
First-principles (PBE) data for crystalline Mn2Ga2Mo at its relaxed geometry, as listed in the Alexandria database.

Cell lengths 6.8718, 6.8718, 2.9166 Å; angles 90.00, 90.00, 90.00 degrees
Last column: nearest neighbours and their distance in Å.
Fractional positions:
Ga1 0.6355 0.1355 0.0000  6 Mn 2.45-2.52, 1 Ga 2.63, 2 Mo 2.67
Mn1 0.6624 0.8376 0.5000  6 Ga 2.45-2.52
Ga2 0.1355 0.3645 0.0000  6 Mn 2.45-2.52, 1 Ga 2.63, 2 Mo 2.67
Mn2 0.1624 0.6624 0.5000  6 Ga 2.45-2.52
Mn3 0.8376 0.3376 0.5000  6 Ga 2.45-2.52
Ga3 0.3645 0.8645 0.0000  6 Mn 2.45-2.52, 1 Ga 2.63, 2 Mo 2.67
Ga4 0.8645 0.6355 0.0000  6 Mn 2.45-2.52, 1 Ga 2.63, 2 Mo 2.67
Mn4 0.3376 0.1624 0.5000  6 Ga 2.45-2.52
Mo1 0.0000 0.0000 0.0000  4 Ga 2.67, 2 Mo 2.92, 8 Mn 2.96
Mo2 0.5000 0.5000 0.0000  4 Ga 2.67, 2 Mo 2.92, 8 Mn 2.96

The energy above the most stable polymorph in this dataset is 31 meV/atom. As for the space group: P4/mbm, No. 127. The final energy comes out at -68.61 eV/cell. The total magnetic moment comes out at 0.0 μB per formula unit.

=====

Entry 2:
First-principles (PBE) data for crystalline MnGa2Mo at its relaxed geometry, as listed in the Alexandria database.

Cell lengths 4.3056, 4.3056, 4.3056 Å; angles 60.00, 60.00, 60.00 degrees
Last column: nearest neighbours and their distance in Å.
Fractional positions:
Mn1 0.0000 0.0000 0.0000  8 Ga 2.64
Ga1 0.7500 0.7500 0.7500  4 Mn 2.64, 4 Mo 2.64
Ga2 0.2500 0.2500 0.2500  4 Mn 2.64, 4 Mo 2.64
Mo1 0.5000 0.5000 0.5000  8 Ga 2.64

The energy above the most stable polymorph in this dataset is 260 meV/atom. As for the space group: Fm-3m, No. 225. The final energy comes out at -25.19 eV/cell. The total magnetic moment comes out at 0.0 μB per formula unit.

=====

Entry 3:
First-principles (PBE) data for crystalline MnGa2Mo at its relaxed geometry, as listed in the Alexandria database.

Cell lengths 3.8290, 3.9185, 3.9185 Å; angles 90.00, 90.00, 90.00 degrees
Last column: nearest neighbours and their distance in Å.
Fractional positions:
Mo1 0.5000 0.0000 0.0000  8 Ga 2.74, 4 Mn 2.77
Mn1 0.5000 0.5000 0.5000  8 Ga 2.74, 4 Mo 2.77
Ga1 0.0000 0.5000 0.0000  4 Mn 2.74, 4 Mo 2.74, 4 Ga 2.77
Ga2 0.0000 0.0000 0.5000  4 Mn 2.74, 4 Mo 2.74, 4 Ga 2.77

The energy above the most stable polymorph in this dataset is 0 meV/atom. As for the space group: P4/mmm, No. 123. The final energy comes out at -26.23 eV/cell. The total magnetic moment comes out at 2.9 μB per formula unit.

=====

Entry 4:
First-principles (PBE) data for crystalline Mn4GaMo at its relaxed geometry, as listed in the Alexandria database.

Cell lengths 4.7254, 4.7254, 4.7254 Å; angles 60.00, 60.00, 60.00 degrees
Last column: nearest neighbours and their distance in Å.
Fractional positions:
Mn1 0.1270 0.6243 0.6243  6 Mn 2.35-2.38
Mn2 0.6243 0.6243 0.6243  6 Mn 2.35-2.38
Mn3 0.6243 0.6243 0.1270  6 Mn 2.35-2.38
Mn4 0.6243 0.1270 0.6243  6 Mn 2.35-2.38
Mo1 0.0000 0.0000 0.0000  12 Mn 2.77, 4 Ga 2.89
Ga1 0.2500 0.2500 0.2500  12 Mn 2.77, 4 Mo 2.89

As for the space group: F-43m, No. 216. The final energy comes out at -50.56 eV/cell. The total magnetic moment comes out at 3.8 μB per formula unit.

=====

Entry 5:
First-principles (PBE) data for crystalline Mn2Ga2Mo at its relaxed geometry, as listed in the Alexandria database.

Cell lengths 7.2230, 7.2230, 2.6915 Å; angles 90.00, 90.00, 90.00 degrees
Last column: nearest neighbours and their distance in Å.
Fractional positions:
Ga1 0.3231 0.1769 0.5000  6 Mn 2.48-2.56, 2 Ga 2.69
Mn1 0.1196 0.3804 0.0000  3 Mn 2.44-2.69, 6 Ga 2.48-2.56
Ga2 0.8231 0.3231 0.5000  6 Mn 2.48-2.56, 2 Ga 2.69
Mo1 0.5000 0.5000 0.0000  2 Mo 2.69, 4 Mn 2.88, 8 Ga 2.98
Mn2 0.8804 0.6196 0.0000  3 Mn 2.44-2.69, 6 Ga 2.48-2.56
Mn3 0.6196 0.1196 0.0000  3 Mn 2.44-2.69, 6 Ga 2.48-2.56
Mo2 0.0000 0.0000 0.0000  2 Mo 2.69, 4 Mn 2.88, 8 Ga 2.98
Ga3 0.1769 0.6769 0.5000  6 Mn 2.48-2.56, 2 Ga 2.69
Ga4 0.6769 0.8231 0.5000  6 Mn 2.48-2.56, 2 Ga 2.69
Mn4 0.3804 0.8804 0.0000  3 Mn 2.44-2.69, 6 Ga 2.48-2.56

The energy above the most stable polymorph in this dataset is 0 meV/atom. As for the space group: P4/mbm, No. 127. The final energy comes out at -68.93 eV/cell. The total magnetic moment comes out at 4.7 μB per formula unit.

=====

Entry 6:
First-principles (PBE) data for crystalline MnGaMo at its relaxed geometry, as listed in the Alexandria database.

Cell lengths 3.0037, 3.0037, 5.0193 Å; angles 107.41, 107.41, 90.00 degrees
Last column: nearest neighbours and their distance in Å.
Fractional positions:
Mn1 0.9549 0.9549 0.9097  4 Mo 2.51, 4 Ga 2.59
Ga1 0.2924 0.2924 0.5847  4 Mn 2.59, 5 Mo 2.74-2.82
Mo1 0.6028 0.6028 0.2056  4 Mn 2.51, 4 Ga 2.74

The energy above the most stable polymorph in this dataset is 0 meV/atom. As for the space group: I4mm, No. 107. The final energy comes out at -23.24 eV/cell. The total magnetic moment comes out at 0.0 μB per formula unit.

=====

Entry 7:
First-principles (PBE) data for crystalline MnGa3Mo at its relaxed geometry, as listed in the Alexandria database.

Cell lengths 4.6373, 4.6373, 4.6373 Å; angles 90.00, 90.00, 90.00 degrees
Last column: nearest neighbours and their distance in Å.
Fractional positions:
Ga1 0.5000 0.0000 0.0000  2 Mn 2.32
Mo1 0.5000 0.5000 0.5000  12 Ga 3.28
Mn1 0.0000 0.0000 0.0000  6 Ga 2.32
Ga2 0.0000 0.0000 0.5000  2 Mn 2.32
Ga3 0.0000 0.5000 0.0000  2 Mn 2.32

As for the space group: Pm-3m, No. 221. The final energy comes out at -25.42 eV/cell. The total magnetic moment comes out at 5.2 μB per formula unit.

=====

Entry 8:
First-principles (PBE) data for crystalline MnGa2Mo2 at its relaxed geometry, as listed in the Alexandria database.

Cell lengths 6.5673, 6.5673, 3.5114 Å; angles 90.00, 90.00, 90.00 degrees
Last column: nearest neighbours and their distance in Å.
Fractional positions:
Ga1 0.8683 0.6317 0.0000  1 Ga 2.45, 6 Mo 2.53-2.67, 2 Mn 2.57
Mn1 0.0000 0.0000 0.0000  4 Ga 2.57
Mn2 0.5000 0.5000 0.0000  4 Ga 2.57
Ga2 0.6317 0.1317 0.0000  1 Ga 2.45, 6 Mo 2.53-2.67, 2 Mn 2.57
Ga3 0.1317 0.3683 0.0000  1 Ga 2.45, 6 Mo 2.53-2.67, 2 Mn 2.57
Mo1 0.6722 0.8278 0.5000  6 Ga 2.53-2.67
Mo2 0.8278 0.3278 0.5000  6 Ga 2.53-2.67
Mo3 0.3278 0.1722 0.5000  6 Ga 2.53-2.67
Ga4 0.3683 0.8683 0.0000  1 Ga 2.45, 6 Mo 2.53-2.67, 2 Mn 2.57
Mo4 0.1722 0.6722 0.5000  6 Ga 2.53-2.67

As for the space group: P4/mbm, No. 127. The final energy comes out at -73.41 eV/cell. The total magnetic moment comes out at 3.0 μB per formula unit.

=====

Entry 9:
First-principles (PBE) data for crystalline MnGaMo at its relaxed geometry, as listed in the Alexandria database.

Cell lengths 4.3484, 6.4789, 7.8280 Å; angles 127.72, 90.00, 90.00 degrees
Last column: nearest neighbours and their distance in Å.
Fractional positions:
Ga1 0.5000 0.1864 0.3345  4 Mn 2.54-2.63, 3 Mo 2.65-2.67
Mn1 0.0000 0.2272 0.1902  1 Mo 2.27, 2 Ga 2.54
Mn2 0.5000 0.7728 0.3098  1 Mo 2.27, 2 Ga 2.54
Mo1 0.5000 0.3291 0.0813  1 Mn 2.27
Mo2 0.0000 0.3291 0.5813  1 Mn 2.27
Ga2 0.0000 0.8136 0.1655  4 Mn 2.54-2.63, 3 Mo 2.65-2.67
Mo3 0.5000 0.6709 0.9187  1 Mn 2.27
Mo4 0.0000 0.6709 0.4187  1 Mn 2.27
Ga3 0.5000 0.8136 0.6655  4 Mn 2.54-2.63, 3 Mo 2.65-2.67
Ga4 0.0000 0.1864 0.8345  4 Mn 2.54-2.63, 3 Mo 2.65-2.67
Mn3 0.0000 0.7728 0.8098  1 Mo 2.27, 2 Ga 2.54
Mn4 0.5000 0.2272 0.6902  1 Mo 2.27, 2 Ga 2.54

The energy above the most stable polymorph in this dataset is 131 meV/atom. As for the space group: C2/m, No. 12. The final energy comes out at -91.41 eV/cell. The total magnetic moment comes out at 0.0 μB per formula unit.

=====

Entry 10:
First-principles (PBE) data for crystalline Mn2GaMo at its relaxed geometry, as listed in the Alexandria database.

Cell lengths 5.7139, 5.7139, 5.7139 Å; angles 152.76, 55.51, 132.62 degrees
Last column: nearest neighbours and their distance in Å.
Fractional positions:
Mn1 0.2479 0.0000 0.2479  1 Ga 2.51, 1 Mo 2.55, 6 Mn 2.66-2.69
Mn2 0.7521 0.0000 0.7521  1 Ga 2.51, 1 Mo 2.55, 6 Mn 2.66-2.69
Ga1 0.0000 0.0000 0.0000  2 Mn 2.51, 4 Mo 2.66, 2 Ga 2.69
Mo1 0.5000 0.0000 0.5000  2 Mn 2.55, 4 Ga 2.66, 2 Mo 2.69

As for the space group: Immm, No. 71. The final energy comes out at -29.98 eV/cell. The total magnetic moment comes out at 6.4 μB per formula unit.

=====

Entry 11:
First-principles (PBE) data for crystalline MnGaMo2N at its relaxed geometry, as listed in the Alexandria database.

Cell lengths 4.1344, 4.1344, 3.8425 Å; angles 90.00, 90.00, 90.00 degrees
Last column: nearest neighbours and their distance in Å.
Fractional positions:
Mo1 0.0000 0.5000 0.0000  2 N 2.07
Mn1 0.0000 0.0000 0.5000  2 N 1.92
Ga1 0.5000 0.5000 0.5000  8 Mo 2.82, 4 Mn 2.92
N1 0.0000 0.0000 0.0000  2 Mn 1.92, 4 Mo 2.07
Mo2 0.5000 0.0000 0.0000  2 N 2.07

For the formation energy without anion corrections, the calculation gives -0.214 eV/atom. As for the space group: P4/mmm, No. 123. The final energy comes out at -43.26 eV/cell. The total magnetic moment comes out at 1.8 μB per formula unit.

=====

Entry 12:
First-principles (PBE) data for crystalline NaMnGaMo2 at its relaxed geometry, as listed in the Alexandria database.

Cell lengths 4.6629, 4.6629, 4.4408 Å; angles 90.00, 90.00, 90.00 degrees
Last column: nearest neighbours and their distance in Å.
Fractional positions:
Mo1 0.0000 0.5000 0.0000  2 Ga 2.33
Mn1 0.0000 0.0000 0.5000  2 Ga 2.22
Mo2 0.5000 0.0000 0.0000  2 Ga 2.33
Ga1 0.0000 0.0000 0.0000  2 Mn 2.22, 4 Mo 2.33
Na1 0.5000 0.5000 0.5000  8 Mo 3.22, 4 Mn 3.30

As for the space group: P4/mmm, No. 123. The final energy comes out at -26.72 eV/cell. The total magnetic moment comes out at 0.0 μB per formula unit.